A relaxed TbZnGa2Co2 crystal, computed with PBE-GGA. Values from VASP.

```
&SYSTEM
  ibrav = 0, nat = 6, ntyp = 4
/
ATOMIC_SPECIES
Tb 158.93 Tb.upf
Zn 65.41 Zn.upf
Ga 69.72 Ga.upf
Co 58.93 Co.upf
ATOMIC_POSITIONS crystal
Tb 0.000 0.000 0.000
Zn 0.000 0.000 0.500
Ga 0.500 0.500 0.248
Ga 0.500 0.500 0.752
Co 0.000 0.500 0.500
Co 0.500 0.000 0.500
CELL_PARAMETERS angstrom
4.372 0.000 0.000
0.000 4.372 0.000
0.000 0.000 5.441
```

Properties
Energy of formation from the pure elements ... -0.352 eV/f.u.
Crystal system ... tetragonal
M_tot ... 1.3 μB/cell
ρ ... 7.69 g/cm³
N(E_F) ... 0.619 states/eV per atom


A relaxed TbZrGaCo crystal, computed with PBE-GGA. Values from VASP.

```
&SYSTEM
  ibrav = 0, nat = 4, ntyp = 4
/
ATOMIC_SPECIES
Tb 158.93 Tb.upf
Zr 91.22 Zr.upf
Ga 69.72 Ga.upf
Co 58.93 Co.upf
ATOMIC_POSITIONS crystal
Tb 0.000 0.000 0.000
Zr 0.500 0.500 0.500
Ga 0.750 0.750 0.750
Co 0.250 0.250 0.250
CELL_PARAMETERS angstrom
0.000 3.394 3.394
3.394 0.000 3.394
3.394 3.394 0.000
```

Properties
Energy of formation from the pure elements ... -1.022 eV/f.u.
Crystal system ... cubic
M_tot ... 1.0 μB/cell
ρ ... 8.04 g/cm³
N(E_F) ... 0.830 states/eV per atom


A relaxed Ga4Co5Tc crystal, computed with PBE-GGA. Values from VASP.

```
&SYSTEM
  ibrav = 0, nat = 10, ntyp = 3
/
ATOMIC_SPECIES
Ga 69.72 Ga.upf
Co 58.93 Co.upf
Tc 98.00 Tc.upf
ATOMIC_POSITIONS crystal
Ga 0.000 0.000 0.098
Ga 0.000 0.000 0.293
Ga 0.000 0.000 0.707
Ga 0.000 0.000 0.902
Co 0.500 0.500 0.000
Co 0.500 0.500 0.195
Co 0.500 0.500 0.392
Co 0.500 0.500 0.608
Co 0.500 0.500 0.805
Tc 0.000 0.000 0.500
CELL_PARAMETERS angstrom
2.772 0.000 0.000
0.000 2.772 0.000
0.000 0.000 15.698
```

Properties
Energy of formation from the pure elements ... -1.968 eV/f.u.
Crystal system ... tetragonal
M_tot ... 1.6 μB/cell
ρ ... 9.24 g/cm³
N(E_F) ... 0.646 states/eV per atom


A relaxed Ga2Co2Tc crystal, computed with PBE-GGA. Values from VASP.

```
&SYSTEM
  ibrav = 0, nat = 10, ntyp = 3
/
ATOMIC_SPECIES
Ga 69.72 Ga.upf
Co 58.93 Co.upf
Tc 98.00 Tc.upf
ATOMIC_POSITIONS crystal
Ga 0.136 0.364 0.000
Ga 0.364 0.864 0.000
Ga 0.636 0.136 0.000
Ga 0.864 0.636 0.000
Co 0.164 0.664 0.500
Co 0.336 0.164 0.500
Co 0.664 0.836 0.500
Co 0.836 0.336 0.500
Tc 0.000 0.000 0.000
Tc 0.500 0.500 0.000
CELL_PARAMETERS angstrom
6.902 0.000 0.000
0.000 6.902 0.000
0.000 0.000 2.673
```

Properties
Energy of formation from the pure elements ... -0.279 eV/f.u.
Crystal system ... tetragonal
M_tot ... 0.0 μB/cell
Polymorph energy (0 for the lowest one) ... 0 meV/atom
ρ ... 9.27 g/cm³
N(E_F) ... 1.166 states/eV per atom